# 1
# Nd8Ho4Th GGA-PBE optimized geometry
data_Nd8Ho4Th
_space_group_name_H-M_alt 'R -3 m'
_space_group_IT_number 166
_space_group_name_Hall '-R 3 2"'
_cell_length_a 7.3766
_cell_length_b 7.3766
_cell_length_c 28.6583
_cell_angle_alpha 90.00
_cell_angle_beta 90.00
_cell_angle_gamma 120.00
loop_
_atom_site_label
_atom_site_type_symbol
_atom_site_fract_x
_atom_site_fract_y
_atom_site_fract_z
Nd1 Nd 0.0000 0.0000 0.2143
Nd2 Nd 0.0338 0.5169 0.7639
Ho1 Ho 0.0000 0.0000 0.0000
Ho2 Ho 0.0000 0.5000 0.0000
Th1 Th 0.0000 0.0000 0.5000
# ΔE_f   0.2236 eV per atom

# 2
# NdHo7Th2 GGA-PBE optimized geometry
data_NdHo7Th2
_space_group_name_H-M_alt 'C m m m'
_space_group_IT_number 65
_space_group_name_Hall '-C 2 2'
_cell_length_a 8.680
_cell_length_b 16.647
_cell_length_c 5.509
_cell_angle_alpha 90.00
_cell_angle_beta 90.00
_cell_angle_gamma 90.00
loop_
_atom_site_label
_atom_site_type_symbol
_atom_site_fract_x
_atom_site_fract_y
_atom_site_fract_z
Nd1 Nd 0.000 0.000 0.000
Ho1 Ho 0.000 0.209 0.000
Ho2 Ho 0.000 0.500 0.500
Ho3 Ho 0.176 0.112 0.500
Th1 Th 0.000 0.295 0.500
# ΔE_f   0.7695 eV per atom

# 3
# NdHo3Th4 GGA-PBE optimized geometry
data_NdHo3Th4
_space_group_name_H-M_alt 'C 1 2/m 1'
_space_group_IT_number 12
_cell_length_a 19.095
_cell_length_b 3.447
_cell_length_c 9.381
_cell_angle_alpha 90.00
_cell_angle_beta 119.21
_cell_angle_gamma 90.00
loop_
_space_group_symop_operation_xyz
'x,y,z'
'-x,-y,-z'
'-x,y,-z'
'x,-y,z'
'x+1/2,y+1/2,z'
'-x+1/2,-y+1/2,-z'
'-x+1/2,y+1/2,-z'
'x+1/2,-y+1/2,z'
loop_
_atom_site_label
_atom_site_type_symbol
_atom_site_fract_x
_atom_site_fract_y
_atom_site_fract_z
Nd1 Nd 0.000 0.000 0.000
Ho1 Ho 0.000 0.500 0.500
Ho2 Ho 0.183 0.500 0.182
Th1 Th 0.150 0.000 0.839
Th2 Th 0.152 0.000 0.463
# ΔE_f   0.3131 eV per atom

# 4
# Nd2HoTh3 GGA-PBE optimized geometry
data_Nd2HoTh3
_space_group_name_H-M_alt 'C m c m'
_space_group_IT_number 63
_space_group_name_Hall '-C 2c 2'
_cell_length_a 10.311
_cell_length_b 11.437
_cell_length_c 6.782
_cell_angle_alpha 90.00
_cell_angle_beta 90.00
_cell_angle_gamma 90.00
loop_
_atom_site_label
_atom_site_type_symbol
_atom_site_fract_x
_atom_site_fract_y
_atom_site_fract_z
Nd1 Nd 0.167 0.230 0.250
Ho1 Ho 0.000 0.271 0.750
Th1 Th 0.000 0.000 0.000
Th2 Th 0.166 0.500 0.000
# ΔE_f   0.1968 eV per atom

# 5
# Nd5Ho6Th2 GGA-PBE optimized geometry
data_Nd5Ho6Th2
_space_group_name_H-M_alt 'P b a m'
_space_group_IT_number 55
_cell_length_a 11.565
_cell_length_b 20.988
_cell_length_c 3.590
_cell_angle_alpha 90.00
_cell_angle_beta 90.00
_cell_angle_gamma 90.00
loop_
_space_group_symop_operation_xyz
'x,y,z'
'-x,-y,-z'
'-x,-y,z'
'x,y,-z'
'x+1/2,-y+1/2,-z'
'-x+1/2,y+1/2,z'
'-x+1/2,y+1/2,-z'
'x+1/2,-y+1/2,z'
loop_
_atom_site_label
_atom_site_type_symbol
_atom_site_fract_x
_atom_site_fract_y
_atom_site_fract_z
Nd1 Nd 0.000 0.000 0.000
Nd2 Nd 0.064 0.294 0.000
Nd3 Nd 0.192 0.578 0.000
Ho1 Ho 0.062 0.148 0.500
Ho2 Ho 0.081 0.438 0.500
Ho3 Ho 0.187 0.877 0.000
Th1 Th 0.190 0.736 0.500
# ΔE_f   0.1084 eV per atom

# 6
# Nd5Ho5Th2 GGA-PBE optimized geometry
data_Nd5Ho5Th2
_space_group_name_H-M_alt 'C 1 2/m 1'
_space_group_IT_number 12
_cell_length_a 15.305
_cell_length_b 5.076
_cell_length_c 11.429
_cell_angle_alpha 90.00
_cell_angle_beta 116.86
_cell_angle_gamma 90.00
loop_
_space_group_symop_operation_xyz
'x,y,z'
'-x,-y,-z'
'-x,y,-z'
'x,-y,z'
'x+1/2,y+1/2,z'
'-x+1/2,-y+1/2,-z'
'-x+1/2,y+1/2,-z'
'x+1/2,-y+1/2,z'
loop_
_atom_site_label
_atom_site_type_symbol
_atom_site_fract_x
_atom_site_fract_y
_atom_site_fract_z
Nd1 Nd 0.000 0.000 0.000
Nd2 Nd 0.081 0.000 0.748
Nd3 Nd 0.250 0.000 0.254
Ho1 Ho 0.000 0.500 0.500
Ho2 Ho 0.086 0.500 0.256
Ho3 Ho 0.168 0.500 0.002
Th1 Th 0.169 0.000 0.498
# ΔE_f   0.0331 eV per atom

Number 1: DOS at the Fermi energy 1.163 states/eV per atom. Number 2: DOS at the Fermi energy 1.384 states/eV per atom. Number 3: DOS at the Fermi energy 1.741 states/eV per atom. Number 4: DOS at the Fermi energy 1.287 states/eV per atom. Number 5: DOS at the Fermi energy 1.345 states/eV per atom. Number 6: DOS at the Fermi energy 1.374 states/eV per atom.